Version A
LiGaN, optimized geometry, DFT PBE-GGA; Fermi-level density of states = 0.3116 states/eV per atom; mass density = 4.29 g/cm3; space-group type = Fddd
1.0
0.000 4.160 4.802
3.517 0.000 4.802
3.517 4.160 0.000
Li Ga N
4 4 4
Direct
0.002 0.002 0.248
0.248 0.248 0.002
0.752 0.752 0.998
0.998 0.998 0.752
0.000 0.500 0.500
0.500 0.000 0.500
0.500 0.500 0.000
0.500 0.500 0.500
0.093 0.657 0.093
0.343 0.907 0.343
0.657 0.093 0.657
0.907 0.343 0.907

=====

Version B
LiGaN, optimized geometry, DFT PBE-GGA; Fermi-level density of states = 0.0227 states/eV per atom; mass density = 4.17 g/cm3; space-group type = P2_1/c
1.0
5.171 0.000 0.000
0.000 4.635 0.000
-0.387 0.000 6.022
Li Ga N
4 4 4
Direct
0.089 0.209 0.127
0.089 0.291 0.627
0.911 0.709 0.373
0.911 0.791 0.873
0.435 0.720 0.091
0.435 0.780 0.591
0.565 0.220 0.409
0.565 0.280 0.909
0.264 0.520 0.351
0.264 0.980 0.851
0.736 0.020 0.149
0.736 0.480 0.649

=====

Top of the stability list: version B, leading by 210 meV per atom.

=====

Version A
LiGaSN2, optimized geometry, DFT PBE-GGA; Fermi-level density of states = 0.3350 states/eV per atom; mass density = 3.30 g/cm3; space-group type = P4/mmm
1.0
3.620 0.000 0.000
0.000 3.620 0.000
0.000 0.000 5.252
Li Ga S N
1 1 1 2
Direct
0.000 0.000 0.000
0.500 0.500 0.500
0.000 0.000 0.500
0.000 0.500 0.000
0.500 0.000 0.000

=====

Version B
LiGaSN2, optimized geometry, DFT PBE-GGA; Fermi-level density of states = 0.5107 states/eV per atom; mass density = 2.89 g/cm3; space-group type = P4/mmm
1.0
3.911 0.000 0.000
0.000 3.911 0.000
0.000 0.000 5.136
Li Ga S N
1 1 1 2
Direct
0.000 0.000 0.000
0.500 0.500 0.500
0.500 0.500 0.000
0.000 0.500 0.500
0.500 0.000 0.500

=====

Top of the stability list: version B, leading by 579 meV per atom.

=====

Version A
LiGaSeN2, optimized geometry, DFT PBE-GGA; Fermi-level density of states = 0.3475 states/eV per atom; mass density = 3.62 g/cm3; space-group type = P4/mmm
1.0
3.933 0.000 0.000
0.000 3.933 0.000
0.000 0.000 5.452
Li Ga Se N
1 1 1 2
Direct
0.000 0.000 0.000
0.500 0.500 0.500
0.500 0.500 0.000
0.000 0.500 0.500
0.500 0.000 0.500

=====

Version B
LiGaSeN2, optimized geometry, DFT PBE-GGA; Fermi-level density of states = 0.4915 states/eV per atom; mass density = 3.97 g/cm3; space-group type = P4/mmm
1.0
3.771 0.000 0.000
0.000 3.771 0.000
0.000 0.000 5.402
Li Ga Se N
1 1 1 2
Direct
0.000 0.000 0.000
0.500 0.500 0.500
0.000 0.000 0.500
0.000 0.500 0.000
0.500 0.000 0.000

=====

Top of the stability list: version A, leading by 582 meV per atom.